First-principles (PBE) data for a relaxed PmEr2Zr crystal, as listed in the Alexandria database.

Values from the calculation:
The value obtained for the formation energy is 0.215 eV per atom. As for the raw total energy: -21.6 eV/f.u. The magnetic moment comes out at 1.571 μB/f.u. The excess energy over the best structure of this formula in the dataset comes out at 0.141 eV per atom.

Unit cell a=7.7652 b=7.7652 c=7.7652 alpha=90.00 beta=90.00 gamma=90.00
With the nearest neighbours (Å) after each atom.
Fractional positions:
Pm1 0.0000 0.0000 0.0000  8 Er 3.36
Pm2 0.0000 0.5000 0.5000  8 Er 3.36
Pm3 0.5000 0.0000 0.5000  8 Er 3.36
Pm4 0.5000 0.5000 0.0000  8 Er 3.36
Er1 0.2500 0.2500 0.2500  4 Zr 3.36, 4 Pm 3.36
Er2 0.2500 0.2500 0.7500  4 Zr 3.36, 4 Pm 3.36
Er3 0.2500 0.7500 0.2500  4 Zr 3.36, 4 Pm 3.36
Er4 0.2500 0.7500 0.7500  4 Zr 3.36, 4 Pm 3.36
Er5 0.7500 0.2500 0.2500  4 Zr 3.36, 4 Pm 3.36
Er6 0.7500 0.2500 0.7500  4 Zr 3.36, 4 Pm 3.36
Er7 0.7500 0.7500 0.2500  4 Zr 3.36, 4 Pm 3.36
Er8 0.7500 0.7500 0.7500  4 Zr 3.36, 4 Pm 3.36
Zr1 0.0000 0.0000 0.5000  8 Er 3.36
Zr2 0.0000 0.5000 0.0000  8 Er 3.36
Zr3 0.5000 0.0000 0.0000  8 Er 3.36
Zr4 0.5000 0.5000 0.5000  8 Er 3.36